Compound: LiSnP3O9
Source: Alexandria
Functional: GGA-PBEsol
Structure: relaxed

a = 6.500 Å, b = 6.500 Å, c = 9.872 Å
α = 90.00°, β = 90.00°, γ = 120.00°
Atoms (fractional coordinates):
Li: 0.000 0.000 0.000
Li: 0.000 0.000 0.500
Sn: 0.333 0.667 0.000
Sn: 0.333 0.667 0.500
P: 0.389 0.084 0.250
P: 0.389 0.305 0.750
P: 0.695 0.084 0.750
P: 0.695 0.611 0.250
P: 0.916 0.305 0.250
P: 0.916 0.611 0.750
O: 0.029 0.298 0.119
O: 0.029 0.298 0.381
O: 0.029 0.732 0.619
O: 0.029 0.732 0.881
O: 0.268 0.298 0.619
O: 0.268 0.298 0.881
O: 0.268 0.971 0.119
O: 0.268 0.971 0.381
O: 0.457 0.100 0.750
O: 0.457 0.357 0.250
O: 0.643 0.100 0.250
O: 0.643 0.543 0.750
O: 0.702 0.732 0.119
O: 0.702 0.732 0.381
O: 0.702 0.971 0.619
O: 0.702 0.971 0.881
O: 0.900 0.357 0.750
O: 0.900 0.543 0.250

Output
- calculated density (g cm⁻³) = 3.33
- uncorrected formation energy (eV/atom) = -2.06